Record 1
# Ac4Cu2Sn5

Crystalline Ac4Cu2Sn5 at its relaxed geometry (PBE, Alexandria via LeMat-Bulk).

Cell and atoms, written as POSCAR:
```
Ac4Cu2Sn5
1.0
4.758 0.000 0.000
0.000 7.880 0.416
0.000 -0.249 9.012
Ac Cu Sn
4 2 5
Direct
0.500 0.743 0.622 Ac
0.500 0.222 0.863 Ac
0.500 0.257 0.378 Ac
0.500 0.778 0.137 Ac
0.000 0.076 0.615 Cu
0.000 0.924 0.385 Cu
0.000 0.591 0.355 Sn
0.000 0.110 0.132 Sn
0.000 0.500 0.000 Sn
0.000 0.890 0.868 Sn
0.000 0.409 0.645 Sn
```

## Properties
* energy: -50.55 eV for the cell shown
* space group: P2/m (10)
* ΔH_f (0 K): -570 kJ/mol of formula units
* magnetic moment: 0.00 Bohr magnetons per cell

=====

Record 2
# Mg2ScAgC

Crystalline Mg2ScAgC at its relaxed geometry (PBE, Alexandria via LeMat-Bulk).

Cell and atoms, written as POSCAR:
```
Mg2ScAgC
1.0
-1.509 1.793 3.720
0.870 -3.734 2.153
4.149 1.516 0.952
Sc Mg C Ag
1 2 1 1
Direct
0.000 0.000 0.500 Sc
0.000 0.500 0.000 Mg
0.500 0.000 0.000 Mg
0.000 0.000 0.000 C
0.500 0.500 0.500 Ag
```

## Properties
* energy: -22.07 eV for the cell shown
* space group: P4/mmm (123)
* ΔH_f (0 K): -46 kJ/mol of formula units
* magnetic moment: 0.00 Bohr magnetons per cell

=====

Record 3
# Rb2MgCu3F12

Crystalline Rb2MgCu3F12 at its relaxed geometry (PBE, Alexandria via LeMat-Bulk).

Cell and atoms, written as POSCAR:
```
Rb2MgCu3F12
1.0
7.212 -0.030 -0.021
3.536 6.286 -0.021
3.536 2.058 5.940
Rb Mg Cu F
2 1 3 12
Direct
0.628 0.628 0.628 Rb
0.372 0.372 0.372 Rb
0.000 0.000 0.000 Mg
0.500 0.000 0.000 Cu
0.000 0.500 0.000 Cu
0.000 0.000 0.500 Cu
0.322 0.322 0.927 F
0.927 0.927 0.328 F
0.328 0.927 0.927 F
0.927 0.322 0.322 F
0.927 0.328 0.927 F
0.322 0.927 0.322 F
0.678 0.678 0.073 F
0.073 0.073 0.672 F
0.672 0.073 0.073 F
0.073 0.678 0.678 F
0.073 0.672 0.073 F
0.678 0.073 0.678 F
```

## Properties
* energy: -76.95 eV for the cell shown
* space group: R-3m (166)
* magnetic moment: 5.00 Bohr magnetons per cell
* formation energy (no corrections): -49.55 kcal/mol of atoms

=====

Record 4
# Bi2SbIr

Crystalline Bi2SbIr at its relaxed geometry (PBE, Alexandria via LeMat-Bulk).

Cell and atoms, written as POSCAR:
```
Bi2SbIr
1.0
6.617 0.000 0.000
0.000 6.617 0.000
3.309 3.309 6.430
Sb Ir Bi
2 2 4
Direct
0.500 0.500 0.000 Sb
0.250 0.750 0.500 Sb
0.000 0.000 0.000 Ir
0.750 0.250 0.500 Ir
0.679 0.125 0.250 Bi
0.071 0.625 0.250 Bi
0.375 0.321 0.750 Bi
0.875 0.929 0.750 Bi
```

## Properties
* energy: -38.50 eV for the cell shown
* space group: I-42d (122)
* magnetic moment: 0.00 Bohr magnetons per cell
* formation energy (no corrections): 8.63 kcal/mol of atoms